(1)
Computed, not measured: a relaxed HgSb2Os crystal at the GGA-PBE level of DFT.

a = 3.2302 Å, b = 3.2302 Å, c = 31.8294 Å
α = 90.00°, β = 90.00°, γ = 120.00°
Space group R-3m (No. 166, hexagonal axes)
One atom of each set of equivalent atoms:
Hg (0.0000, 0.0000, 0.0000) [3 per cell]
Sb (0.0000, 0.0000, 0.2307) [6 per cell]
Os (0.0000, 0.0000, 0.5000) [3 per cell]

Values from the calculation:
VASP energy ... -4.66 eV per atom

=====

(2)
Computed, not measured: a relaxed HgSb2Os crystal at the GGA-PBE level of DFT.

a = 5.003 Å, b = 5.003 Å, c = 3.403 Å
α = 90.00°, β = 90.00°, γ = 90.00°
Space group P4/mmm (No. 123)
One atom of each set of equivalent atoms:
Hg (0.000, 0.000, 0.000) [1 per cell]
Sb (0.000, 0.500, 0.500) [2 per cell]
Os (0.500, 0.500, 0.000) [1 per cell]

Values from the calculation:
VASP energy ... -4.14 eV per atom

=====

(3)
Computed, not measured: a relaxed HgSb2Os crystal at the GGA-PBE level of DFT.

a = 3.189 Å, b = 5.387 Å, c = 10.892 Å
α = 90.00°, β = 90.00°, γ = 90.00°
Space group Cmm2 (No. 35)
One atom of each set of equivalent atoms:
Hg (0.000, 0.000, 0.000) [2 per cell]
Sb (0.000, 0.000, 0.408) [2 per cell]
Sb (0.000, 0.500, 0.740) [2 per cell]
Os (0.000, 0.500, 0.217) [2 per cell]

Values from the calculation:
VASP energy ... -4.31 eV per atom

=====

(4)
Computed, not measured: a relaxed HgSb4Os crystal at the GGA-PBE level of DFT.

a = 8.647 Å, b = 8.647 Å, c = 8.647 Å
α = 90.00°, β = 90.00°, γ = 90.00°
Space group F-43m (No. 216)
One atom of each set of equivalent atoms:
Hg (0.000, 0.000, 0.000) [4 per cell]
Sb (0.125, 0.125, 0.375) [16 per cell]
Os (0.250, 0.250, 0.750) [4 per cell]

Values from the calculation:
VASP energy ... -3.54 eV per atom

=====

(5)
Computed, not measured: a relaxed HgSb2Os crystal at the GGA-PBE level of DFT.

a = 3.164 Å, b = 3.163 Å, c = 10.065 Å
α = 90.00°, β = 90.34°, γ = 90.00°
Space group P2/m (No. 10)
One atom of each set of equivalent atoms:
Hg (0.000, 0.000, 0.000) [1 per cell]
Sb (0.496, 0.500, 0.327) [2 per cell]
Os (0.000, 0.000, 0.500) [1 per cell]

Values from the calculation:
VASP energy ... -4.75 eV per atom

=====

(6)
Computed, not measured: a relaxed HgSb2Os crystal at the GGA-PBE level of DFT.

a = 3.200 Å, b = 3.239 Å, c = 19.473 Å
α = 90.00°, β = 90.00°, γ = 90.00°
Space group Imm2 (No. 44)
One atom of each set of equivalent atoms:
Hg (0.000, 0.000, 0.000) [2 per cell]
Sb (0.000, 0.000, 0.350) [2 per cell]
Sb (0.000, 0.500, 0.162) [2 per cell]
Os (0.000, 0.500, 0.740) [2 per cell]

Values from the calculation:
VASP energy ... -4.68 eV per atom